# 1
Density functional theory data (PBE) for an optimized crystal structure of Tm2HfPd3.

electronic total energy = -39.46 eV/f.u.
density of states at the Fermi level = 0.724 states/eV per atom

```
data_Tm2HfPd3
_cell_length_a 4.759
_cell_length_b 14.789
_cell_length_c 3.437
_cell_angle_alpha 90.00
_cell_angle_beta 90.00
_cell_angle_gamma 90.00
_space_group_name_H-M_alt 'P 1'
_space_group_IT_number 1
_space_group_name_Hall 'P 1'
loop_
_atom_site_label
_atom_site_fract_x
_atom_site_fract_y
_atom_site_fract_z
_atom_site_occupancy
Tm1 0.250 0.083 0.016 1
Tm2 0.250 0.417 0.016 1
Tm3 0.750 0.583 0.984 1
Tm4 0.750 0.917 0.984 1
Hf1 0.250 0.750 0.987 1
Hf2 0.750 0.250 0.013 1
Pd1 0.250 0.250 0.512 1
Pd2 0.250 0.604 0.484 1
Pd3 0.250 0.896 0.484 1
Pd4 0.750 0.104 0.516 1
Pd5 0.750 0.396 0.516 1
Pd6 0.750 0.750 0.488 1
```

=====

# 2
Density functional theory data (PBE) for an optimized crystal structure of TmHfPd.

density of states at the Fermi level = 1.288 states/eV per atom
E above lowest polymorph = 0 meV per atom

```
data_TmHfPd
_cell_length_a 6.093
_cell_length_b 6.093
_cell_length_c 6.093
_cell_angle_alpha 147.64
_cell_angle_beta 147.64
_cell_angle_gamma 46.42
_space_group_name_H-M_alt 'P 1'
_space_group_IT_number 1
_space_group_name_Hall 'P 1'
loop_
_atom_site_label
_atom_site_fract_x
_atom_site_fract_y
_atom_site_fract_z
_atom_site_occupancy
Tm1 0.000 0.000 0.000 1
Hf1 0.303 0.303 0.000 1
Pd1 0.668 0.668 0.000 1
```

=====

Q: Look up the density of states at the Fermi level of the first one.
A: 0.724 states/eV per atom

=====

Q: Look up the density of states at the Fermi level of the first one.
A: 0.724 states/eV per atom

=====

Q: The lowest density of states at the Fermi level belongs to which entry?
A: Tm2HfPd3

=====

Q: Which formula does entry 2 have?
A: TmHfPd